Entry 1:
PBE Er4ScIn, relaxed; E above lowest polymorph = 0 meV/atom; energy of formation from the pure elements = 0.01 eV/atom; E_tot = -4.5387 eV per atom
1.0
3.435 0.000 0.000
0.000 5.596 0.000
0.000 0.000 9.201
Er Sc In
4 1 1
direct
0.000 0.000 0.188
0.000 0.000 0.812
0.500 0.500 0.308
0.500 0.500 0.692
0.500 0.000 0.500
0.000 0.500 0.000

Entry 2:
PBE ErSc2In3, relaxed; energy of formation from the pure elements = -0.42 eV/atom; E_tot = -4.6642 eV per atom
1.0
3.419 0.000 0.000
0.000 3.419 0.000
0.000 0.000 12.142
Er Sc In
1 2 3
direct
0.000 0.000 0.000
0.000 0.000 0.338
0.000 0.000 0.662
0.500 0.500 0.178
0.500 0.500 0.500
0.500 0.500 0.822